{
  "formula": "Th2Sn5Rh3",
  "functional": "PBE",
  "state": "optimized geometry",
  "lattice": [[4.478, 0.000, -0.763], [0.000, 7.329, 0.000], [0.006, 0.000, 13.562]],
  "species": ["Th", "Th", "Th", "Th", "Sn", "Sn", "Sn", "Sn", "Sn", "Sn", "Sn", "Sn", "Sn", "Sn", "Rh", "Rh", "Rh", "Rh", "Rh", "Rh"],
  "fractional_positions": [[0.474, 0.756, 0.947], [0.171, 0.730, 0.343], [0.829, 0.230, 0.657], [0.526, 0.256, 0.053], [0.404, 0.381, 0.808], [0.289, 0.513, 0.579], [0.711, 0.013, 0.421], [0.123, 0.255, 0.246], [0.294, 0.931, 0.588], [0.951, 0.095, 0.901], [0.706, 0.431, 0.412], [0.877, 0.755, 0.754], [0.049, 0.595, 0.099], [0.596, 0.881, 0.192], [0.776, 0.718, 0.551], [0.606, 0.505, 0.213], [0.050, 0.981, 0.100], [0.224, 0.218, 0.449], [0.950, 0.481, 0.900], [0.394, 0.005, 0.787]],
  "n_ef_per_ev_fu": 3.05,
  "energy_ha_per_atom": -0.235,
  "spacegroup": "No. 36",
  "formation_energy_ev_per_atom": -0.71
}

=====

{
  "formula": "Th7Sn2Rh2",
  "functional": "PBE",
  "state": "optimized geometry",
  "lattice": [[-0.402, 5.162, -4.844], [-3.308, -4.301, -4.310], [-5.820, 0.445, 4.025]],
  "species": ["Th", "Th", "Th", "Th", "Th", "Th", "Th", "Sn", "Sn", "Rh", "Rh"],
  "fractional_positions": [[0.000, 0.266, 0.500], [0.500, 0.734, 0.000], [0.000, 0.734, 0.500], [0.500, 0.266, 0.000], [0.000, 0.000, 0.000], [0.500, 0.755, 0.500], [0.500, 0.245, 0.500], [0.828, 0.500, 0.828], [0.172, 0.500, 0.172], [0.737, 0.000, 0.263], [0.263, 0.000, 0.737]],
  "n_ef_per_ev_fu": 13.45,
  "energy_ha_per_atom": -0.261,
  "spacegroup": "No. 65",
  "formation_energy_ev_per_atom": -0.31
}

=====

{
  "formula": "Th4Sn8Rh",
  "functional": "PBE",
  "state": "optimized geometry",
  "lattice": [[4.492, 0.000, 0.000], [0.000, 4.511, 0.000], [0.000, 0.000, 17.434]],
  "species": ["Th", "Th", "Th", "Th", "Sn", "Sn", "Sn", "Sn", "Sn", "Sn", "Sn", "Sn", "Rh"],
  "fractional_positions": [[0.000, 0.000, 0.098], [0.000, 0.500, 0.609], [0.500, 0.500, 0.392], [0.500, 0.000, 0.897], [0.000, 0.000, 0.459], [0.000, 0.500, 0.936], [0.500, 0.500, 0.056], [0.500, 0.000, 0.569], [0.000, 0.500, 0.235], [0.000, 0.000, 0.753], [0.500, 0.000, 0.233], [0.500, 0.500, 0.753], [0.000, 0.000, 0.312]],
  "n_ef_per_ev_fu": 5.67,
  "energy_ha_per_atom": -0.216,
  "spacegroup": "No. 25",
  "formation_energy_ev_per_atom": -0.57
}

=====

{
  "formula": "ThSnRh",
  "functional": "PBE",
  "state": "optimized geometry",
  "lattice": [[4.003, 0.000, 0.000], [0.000, 7.686, 0.000], [0.000, 0.000, 13.552]],
  "species": ["Th", "Th", "Th", "Th", "Th", "Th", "Sn", "Sn", "Sn", "Sn", "Sn", "Sn", "Rh", "Rh", "Rh", "Rh", "Rh", "Rh"],
  "fractional_positions": [[0.000, 0.231, 0.955], [0.000, 0.769, 0.045], [0.000, 0.231, 0.545], [0.000, 0.769, 0.455], [0.000, 0.152, 0.250], [0.000, 0.848, 0.750], [0.500, 0.439, 0.126], [0.500, 0.561, 0.874], [0.500, 0.439, 0.374], [0.500, 0.561, 0.626], [0.500, 0.810, 0.250], [0.500, 0.190, 0.750], [0.500, 0.078, 0.098], [0.500, 0.922, 0.902], [0.500, 0.078, 0.402], [0.500, 0.922, 0.598], [0.000, 0.561, 0.250], [0.000, 0.439, 0.750]],
  "n_ef_per_ev_fu": 1.84,
  "energy_ha_per_atom": -0.261,
  "spacegroup": "No. 51",
  "formation_energy_ev_per_atom": -0.85
}

=====

{
  "formula": "Th8Sn2Rh",
  "functional": "PBE",
  "state": "optimized geometry",
  "lattice": [[5.534, 0.000, 0.000], [0.000, 6.768, -0.320], [-2.767, -3.245, 8.966]],
  "species": ["Th", "Th", "Th", "Th", "Th", "Th", "Th", "Th", "Sn", "Sn", "Rh"],
  "fractional_positions": [[0.412, 0.557, 0.823], [0.643, 0.979, 0.286], [0.778, 0.685, 0.556], [0.995, 0.234, 0.991], [0.222, 0.315, 0.444], [0.357, 0.021, 0.714], [0.588, 0.443, 0.177], [0.005, 0.766, 0.009], [0.828, 0.270, 0.656], [0.172, 0.730, 0.344], [0.500, 0.000, 0.000]],
  "n_ef_per_ev_fu": 13.21,
  "energy_ha_per_atom": -0.259,
  "spacegroup": "No. 12",
  "formation_energy_ev_per_atom": -0.24
}

=====

{
  "formula": "ThSnRh2",
  "functional": "PBE",
  "state": "optimized geometry",
  "lattice": [[4.077, 0.000, 0.000], [0.000, 7.061, 0.000], [0.000, 0.000, 11.444]],
  "species": ["Th", "Th", "Th", "Th", "Sn", "Sn", "Sn", "Sn", "Rh", "Rh", "Rh", "Rh", "Rh", "Rh", "Rh", "Rh"],
  "fractional_positions": [[0.750, 0.706, 0.669], [0.250, 0.794, 0.169], [0.250, 0.294, 0.331], [0.750, 0.206, 0.831], [0.750, 0.912, 0.409], [0.250, 0.588, 0.909], [0.250, 0.088, 0.591], [0.750, 0.412, 0.091], [0.750, 0.337, 0.526], [0.250, 0.163, 0.026], [0.250, 0.663, 0.474], [0.750, 0.837, 0.974], [0.750, 0.560, 0.305], [0.250, 0.940, 0.805], [0.250, 0.440, 0.695], [0.750, 0.060, 0.195]],
  "n_ef_per_ev_fu": 1.88,
  "energy_ha_per_atom": -0.268,
  "spacegroup": "No. 62",
  "formation_energy_ev_per_atom": -0.77
}